Here is a crystal of FeRh3F relaxed with PBEsol from Alexandria via LeMat-Bulk. Energies are from SCAN.

**Electronic total energy**: -119.78 eV per formula unit
**Formation energy without anion corrections**: 61.81 kJ/mol of atoms
**Total magnetic moment**: 7.06 μB per cell
**Space group**: Pm-3m (221)
**DOS(E_F)**: 3.623 states/eV per cell

Unit cell a=4.127 b=4.127 c=4.127 alpha=90.00 beta=90.00 gamma=90.00
Atoms (fractional coordinates):
Fe 0.000 0.000 0.000
Rh 0.000 0.500 0.500
Rh 0.500 0.000 0.500
Rh 0.500 0.500 0.000
F 0.500 0.500 0.500